The following is a DFT calculation (PBE-GGA) of a relaxed P3PdS crystal.

Calculated values
Spin magnetization ... 0.00 μB per cell
Crystal system ... cubic
Uncorrected formation energy ... 0.95 eV/atom
Energy above the lowest structure with this stoichiometry ... 0 meV per atom
DOS(E_F) ... 0.924 states/eV/atom

a b c (Å): 4.438 4.438 4.438
angles (deg): 90.00 90.00 90.00
Atoms (fractional coordinates):
P1 0.000 0.500 0.000
P2 0.000 0.000 0.500
P3 0.500 0.000 0.000
S1 0.000 0.000 0.000
Pd1 0.500 0.500 0.500